Compound: BaWBr2
Source: Alexandria via LeMat-Bulk
Functional: SCAN
Structure: PBEsol geometry

Output
ΔE to the lowest computed polymorph ... 0.238 eV/atom
E_form (uncorrected) ... 0.37 eV per atom
ρ ... 6.68 Mg/m³
VASP energy ... -36.6743 eV/atom

a = 5.5311 Å, b = 5.5311 Å, c = 5.5311 Å
α = 60.00°, β = 60.00°, γ = 60.00°
Fractional coordinates of all 4 atoms:
Br 0.7500 0.7500 0.7500
Br 0.0000 0.0000 0.0000
Ba 0.5000 0.5000 0.5000
W 0.2500 0.2500 0.2500



Compound: PmBiPd2
Source: Alexandria via LeMat-Bulk
Functional: SCAN
Structure: PBEsol geometry

Output
D(E_F) ... 1.324 states/eV/f.u.
ρ ... 11.41 Mg/m³
VASP energy ... -47.8075 eV/atom
Formation enthalpy at 0 K ... -0.7790 eV per atom

a = 4.8855 Å, b = 4.8855 Å, c = 4.8855 Å
α = 60.00°, β = 60.00°, γ = 60.00°
Fractional coordinates of all 4 atoms:
Pd 0.7500 0.7500 0.7500
Pd 0.2500 0.2500 0.2500
Bi 0.5000 0.5000 0.5000
Pm 0.0000 0.0000 0.0000



Compound: SiMo2H2
Source: Alexandria via LeMat-Bulk
Functional: SCAN
Structure: PBEsol geometry

Output
D(E_F) ... 2.119 states/eV/f.u.
ρ ... 7.71 Mg/m³
VASP energy ... -17.3919 eV/atom

a = 3.0624 Å, b = 3.0624 Å, c = 5.5365 Å
α = 106.06°, β = 106.06°, γ = 90.00°
Fractional coordinates of all 5 atoms:
Mo 0.6438 0.6438 0.2876
Mo 0.3562 0.3562 0.7124
H 0.7500 0.2500 0.5000
H 0.2500 0.7500 0.5000
Si 0.0000 0.0000 0.0000



Compound: Sr3Li
Source: Alexandria via LeMat-Bulk
Functional: SCAN
Structure: PBEsol geometry

Output
D(E_F) ... 3.734 states/eV/f.u.
ΔE to the lowest computed polymorph ... 0.060 eV/atom
ρ ... 2.47 Mg/m³
VASP energy ... -17.2145 eV/atom
Formation enthalpy at 0 K ... 0.0894 eV per atom

a = 5.5650 Å, b = 5.5650 Å, c = 7.0636 Å
α = 113.20°, β = 113.20°, γ = 90.00°
Fractional coordinates of all 4 atoms:
Sr 0.2500 0.7500 0.5000
Sr 0.7500 0.2500 0.5000
Sr 0.5000 0.5000 0.0000
Li 0.0000 0.0000 0.0000